[1]
A crystal of CrAg2Br relaxed with PBEsol, computed with SCAN.

Summary:
- ΔE_f (raw) (eV per atom) = 0.302

Lattice parameters (Å, degrees): 5.317 8.711 3.274 90.00 90.00 90.00
Space group Cmmm (No. 65)
Asymmetric unit:
Cr (0.000, 0.000, 0.000) (multiplicity 2)
Ag (0.250, 0.250, 0.500) (multiplicity 4)
Br (0.000, 0.500, 0.000) (multiplicity 2)

[2]
A crystal of SnBPt2C relaxed with PBEsol, computed with SCAN.

Summary:
- energy of formation (eV per atom) = 1.229

Lattice parameters (Å, degrees): 3.940 3.940 5.241 90.00 90.00 90.00
Space group P4/mmm (No. 123)
Asymmetric unit:
Sn (0.000, 0.000, 0.000) (multiplicity 1)
B (0.000, 0.000, 0.500) (multiplicity 1)
Pt (0.000, 0.500, 0.500) (multiplicity 2)
C (0.500, 0.500, 0.000) (multiplicity 1)

[3]
A crystal of CaFeP2 relaxed with PBEsol, computed with SCAN.

Summary:
- energy of formation (eV per atom) = -0.192

Lattice parameters (Å, degrees): 2.919 2.919 6.684 90.00 90.00 90.00
Space group P4/mmm (No. 123)
Asymmetric unit:
Ca (0.000, 0.000, 0.000) (multiplicity 1)
Fe (0.000, 0.000, 0.500) (multiplicity 1)
P (0.500, 0.500, 0.310) (multiplicity 2)

[4]
A crystal of TaTcTeF2 relaxed with PBEsol, computed with SCAN.

Summary:
- ΔE_f (raw) (eV per atom) = 0.121

Lattice parameters (Å, degrees): 4.062 4.062 5.313 90.00 90.00 90.00
Space group P4/mmm (No. 123)
Asymmetric unit:
Ta (0.000, 0.000, 0.000) (multiplicity 1)
Tc (0.500, 0.500, 0.000) (multiplicity 1)
Te (0.500, 0.500, 0.500) (multiplicity 1)
F (0.000, 0.500, 0.500) (multiplicity 2)

[5]
A crystal of Li2GaPd2 relaxed with PBEsol, computed with SCAN.

Summary:
- energy of formation (eV per atom) = -0.252

Lattice parameters (Å, degrees): 3.158 3.158 13.889 90.00 90.00 90.00
Space group I4/mmm (No. 139)
Asymmetric unit:
Li (0.000, 0.500, 0.250) (multiplicity 4)
Ga (0.000, 0.000, 0.000) (multiplicity 2)
Pd (0.000, 0.000, 0.400) (multiplicity 4)

[6]
A crystal of CaSc3Ga relaxed with PBEsol, computed with SCAN.

Summary:
- energy of formation (eV per atom) = 0.026

Lattice parameters (Å, degrees): 5.189 5.189 5.189 90.00 90.00 90.00
Space group Pm-3m (No. 221)
Asymmetric unit:
Ca (0.000, 0.000, 0.000) (multiplicity 1)
Sc (0.000, 0.500, 0.500) (multiplicity 3)
Ga (0.500, 0.500, 0.500) (multiplicity 1)

[7]
A crystal of OsRh2 relaxed with PBEsol, computed with SCAN.

Summary:
- energy of formation (eV per atom) = 0.016

Lattice parameters (Å, degrees): 2.679 3.789 8.022 90.00 90.00 90.00
Space group Immm (No. 71)
Asymmetric unit:
Os (0.000, 0.000, 0.000) (multiplicity 2)
Rh (0.000, 0.000, 0.336) (multiplicity 4)

[8]
A crystal of CdRh relaxed with PBEsol, computed with SCAN.

Summary:
- energy of formation (eV per atom) = -0.025

Lattice parameters (Å, degrees): 10.377 2.860 6.756 90.00 106.75 90.00
Space group Cm (No. 8)
Asymmetric unit:
Cd (0.000, 0.000, 0.000) (multiplicity 2)
Cd (0.035, 0.000, 0.601) (multiplicity 2)
Cd (0.178, 0.500, 0.343) (multiplicity 2)
Rh (0.223, 0.500, 0.943) (multiplicity 2)
Rh (0.319, 0.000, 0.683) (multiplicity 2)
Rh (0.382, 0.000, 0.257) (multiplicity 2)

[9]
A crystal of Zn2SiAu relaxed with PBEsol, computed with SCAN.

Summary:
- ΔE_f (raw) (eV per atom) = 0.056

Lattice parameters (Å, degrees): 8.369 3.676 4.103 90.00 103.89 90.00
Space group C2/m (No. 12)
Asymmetric unit:
Zn (0.248, 0.000, 0.255) (multiplicity 4)
Si (0.000, 0.000, 0.500) (multiplicity 2)
Au (0.000, 0.500, 0.000) (multiplicity 2)

[10]
A crystal of LuB2C relaxed with PBEsol, computed with SCAN.

Summary:
- energy of formation (eV per atom) = -0.668

Lattice parameters (Å, degrees): 6.702 6.702 7.061 90.00 90.00 90.00
Space group P4_2/mbc (No. 135)
Asymmetric unit:
Lu (0.191, 0.309, 0.250) (multiplicity 8)
B (0.034, 0.848, 0.000) (multiplicity 8)
B (0.093, 0.597, 0.000) (multiplicity 8)
C (0.040, 0.822, 0.500) (multiplicity 8)

[11]
A crystal of RbZrAs3 relaxed with PBEsol, computed with SCAN.

Summary:
- energy of formation (eV per atom) = -0.318

Lattice parameters (Å, degrees): 5.208 5.208 5.208 90.00 90.00 90.00
Space group Pm-3m (No. 221)
Asymmetric unit:
Rb (0.000, 0.000, 0.000) (multiplicity 1)
Zr (0.500, 0.500, 0.500) (multiplicity 1)
As (0.000, 0.500, 0.500) (multiplicity 3)

[12]
A crystal of La3In relaxed with PBEsol, computed with SCAN.

Summary:
- energy of formation (eV per atom) = -0.392

Lattice parameters (Å, degrees): 4.886 4.886 10.138 90.00 90.00 90.00
Space group I4/mmm (No. 139)
Asymmetric unit:
La (0.000, 0.000, 0.000) (multiplicity 2)
La (0.000, 0.500, 0.250) (multiplicity 4)
In (0.000, 0.000, 0.500) (multiplicity 2)